The following is a DFT calculation (PBE) of a geometry-optimized RbY2AlPd structure.

Values from the calculation:
* SG: P4/mmm
* formation enthalpy at 0 K: 276 meV per atom
* E above lowest polymorph: 0.000 eV/atom
* crystal system: tetragonal

Cell: 5.7148 5.7148 4.8244 Å, 90.00 90.00 90.00°
Closest atoms and distances in Å follow each position.
Fractional coordinates of all 5 atoms:
Rb: 0.0000 0.0000 0.0000  8 Y 3.74, 4 Pd 4.04
Y: 0.0000 0.5000 0.5000  2 Al 2.86
Y: 0.5000 0.0000 0.5000  2 Al 2.86
Al: 0.5000 0.5000 0.5000  2 Pd 2.41
Pd: 0.5000 0.5000 0.0000  2 Al 2.41